1.
A plane-wave DFT calculation with PBE was carried out for a relaxed Li2ScIn2AgAu2 crystal.

Structure (extended XYZ):
```
8
Lattice="4.740 0.000 0.000 0.000 4.740 0.000 0.000 0.000 6.557" Properties=species:S:1:pos:R:3 pbc="T T T"
Li 0.000 2.370 1.428
Li 2.370 0.000 5.129
Sc 0.000 0.000 3.278
In 0.000 0.000 0.000
In 2.370 2.370 3.278
Ag 2.370 2.370 0.000
Au 0.000 2.370 4.846
Au 2.370 0.000 1.711
```

## Properties
Uncorrected energy = -3.57 eV/atom
Space group = P-4m2, No. 115
Total magnetization = 0.00 Bohr magnetons per cell


2.
A plane-wave DFT calculation with PBE was carried out for a relaxed Fe2RePd crystal.

Structure (extended XYZ):
```
8
Lattice="2.692 -4.511 0.000 2.692 4.511 0.000 0.000 0.000 4.223" Properties=species:S:1:pos:R:3 pbc="T T T"
Fe 1.242 0.728 1.056
Fe 1.242 -0.728 3.167
Fe 4.141 0.728 1.056
Fe 4.141 -0.728 3.167
Re 2.692 3.137 1.056
Re 2.692 -3.137 3.167
Pd 2.692 1.456 3.167
Pd 2.692 -1.456 1.056
```

## Properties
Uncorrected energy = -8.46 eV/atom
Energy relative to the elements = 37.9 kJ/mol of formula units
Space group = Cmcm, No. 63
Total magnetization = 4.44 Bohr magnetons per cell


3.
A plane-wave DFT calculation with PBE was carried out for a relaxed PaTaC2 crystal.

Structure (extended XYZ):
```
16
Lattice="5.832 0.000 0.000 0.000 3.362 0.000 0.000 0.000 11.262" Properties=species:S:1:pos:R:3 pbc="T T T"
Pa 0.486 0.841 1.584
Pa 2.430 2.522 7.215
Pa 3.402 0.841 4.047
Pa 5.346 2.522 9.678
Ta 0.498 2.522 4.453
Ta 2.418 0.841 10.084
Ta 3.414 2.522 1.178
Ta 5.334 0.841 6.809
C 0.944 0.841 8.496
C 1.414 0.841 5.552
C 1.502 2.522 11.183
C 1.971 2.522 2.865
C 3.860 0.841 8.397
C 4.330 0.841 0.079
C 4.418 2.522 5.710
C 4.887 2.522 2.766
```

## Properties
Uncorrected energy = -10.56 eV/atom
Space group = Pnma, No. 62
Total magnetization = 0.01 Bohr magnetons per cell


4.
A plane-wave DFT calculation with PBE was carried out for a relaxed SmNp2Ta2N6 crystal.

Structure (extended XYZ):
```
11
Lattice="-2.013 2.013 9.529 2.013 -2.013 9.529 2.013 2.013 -9.529" Properties=species:S:1:pos:R:3 pbc="T T T"
Sm 0.000 0.000 0.000
Np 0.000 0.000 3.409
Np 0.000 0.000 15.650
Ta 0.000 0.000 7.585
Ta 0.000 0.000 11.474
N 2.013 0.000 1.643
N 0.000 0.000 5.622
N 2.013 0.000 7.887
N 0.000 2.013 1.643
N 0.000 0.000 13.437
N 0.000 2.013 7.887
```

## Properties
Uncorrected energy = -10.60 eV/atom
Space group = I4/mmm, No. 139
Total magnetization = 8.03 Bohr magnetons per cell


5.
A plane-wave DFT calculation with PBE was carried out for a relaxed Be2CuSi crystal.

Structure (extended XYZ):
```
4
Lattice="0.000 2.786 2.786 2.786 0.000 2.786 2.786 2.786 0.000" Properties=species:S:1:pos:R:3 pbc="T T T"
Be 0.000 0.000 0.000
Be 1.393 1.393 1.393
Cu 4.179 4.179 4.179
Si 2.786 2.786 2.786
```

## Properties
Uncorrected energy = -3.80 eV/atom
Space group = F-43m, No. 216


6.
A plane-wave DFT calculation with PBE was carried out for a relaxed HoLuGa2Fe4 crystal.

Structure (extended XYZ):
```
8
Lattice="3.935 0.000 0.000 0.000 4.914 0.000 0.000 0.000 6.767" Properties=species:S:1:pos:R:3 pbc="T T T"
Ho 0.000 0.000 0.000
Lu 0.000 2.457 2.530
Ga 1.967 0.000 2.366
Ga 1.967 2.457 0.141
Fe 0.000 0.000 3.971
Fe 0.000 2.457 5.271
Fe 1.967 1.233 4.624
Fe 1.967 3.681 4.624
```

## Properties
Uncorrected energy = -6.39 eV/atom
Space group = Pmm2, No. 25
Total magnetization = 7.22 Bohr magnetons per cell